# 1
Computed, not measured: a PBEsol-optimized structure of ZnReAs at the SCAN level of DFT.

```
ZnReAs
1.0
3.1948 0.0000 0.0000
0.0000 3.1948 0.0000
0.0000 0.0000 8.3697
Zn Re As
2 2 2
Direct
0.0000 0.0000 0.0000
0.5000 0.5000 0.5000
0.0000 0.0000 0.3232
0.5000 0.5000 0.8232
0.0000 0.0000 0.6762
0.5000 0.5000 0.1762
```

Summary:
E_form	21	kJ/mol of formula units
crystal system	tetragonal
space-group type	I4mm, No. 107



# 2
Computed, not measured: a PBEsol-optimized structure of Na3TiGe at the SCAN level of DFT.

```
Na3TiGe
1.0
5.4741 0.0000 0.0000
0.0000 5.4741 0.0000
0.0000 0.0000 5.4741
Na Ti Ge
3 1 1
Direct
0.0000 0.0000 0.5000
0.0000 0.5000 0.0000
0.5000 0.0000 0.0000
0.0000 0.0000 0.0000
0.5000 0.5000 0.5000
```

Summary:
E_form	585	kJ/mol of formula units
crystal system	cubic
space-group type	Pm-3m, No. 221



# 3
Computed, not measured: a PBEsol-optimized structure of Ca2TiAlO5 at the SCAN level of DFT.

```
Ca2TiAlO5
1.0
-7.1570 2.8330 2.6825
7.1570 -2.8330 2.6825
7.1570 2.8330 -2.6825
Ca Ti Al O
4 2 2 10
Direct
0.0336 0.1098 0.1433
0.0336 0.3902 0.4238
0.9664 0.6098 0.5762
0.9664 0.8902 0.8567
0.5123 0.0123 0.5000
0.5123 0.5123 0.0000
0.3929 0.7197 0.1733
0.5464 0.2197 0.8267
0.0130 0.2738 0.7664
0.0130 0.7466 0.2392
0.2873 0.8894 0.8979
0.4665 0.1851 0.5738
0.4665 0.3927 0.7813
0.5074 0.2466 0.2336
0.5074 0.7738 0.7608
0.6114 0.6851 0.2187
0.6114 0.8927 0.4262
0.9916 0.3894 0.1021
```

Summary:
energy relative to the elements, uncorrected	-316.6	kJ/mol of atoms
crystal system	orthorhombic
space-group type	Ima2, No. 46



# 4
Computed, not measured: a PBEsol-optimized structure of MgAlHg2 at the SCAN level of DFT.

```
MgAlHg2
1.0
3.3214 0.0000 0.0000
-1.6607 2.8764 0.0000
0.0000 0.0000 25.7657
Mg Al Hg
3 3 6
Direct
0.0000 0.0000 0.0000
0.3333 0.6667 0.6667
0.6667 0.3333 0.3333
0.0000 0.0000 0.5000
0.3333 0.6667 0.1667
0.6667 0.3333 0.8333
0.0000 0.0000 0.2475
0.0000 0.0000 0.7525
0.3333 0.6667 0.4192
0.3333 0.6667 0.9142
0.6667 0.3333 0.0858
0.6667 0.3333 0.5808
```

Summary:
E_form	-59	kJ/mol of formula units
crystal system	trigonal
space-group type	R-3m, No. 166



# 5
Computed, not measured: a PBEsol-optimized structure of ScCd2Se at the SCAN level of DFT.

```
ScCd2Se
1.0
6.9178 0.0000 0.0000
0.0000 6.9178 0.0000
0.0000 0.0000 6.9178
Sc Cd Se
4 8 4
Direct
0.0000 0.0000 0.0000
0.0000 0.5000 0.5000
0.5000 0.0000 0.5000
0.5000 0.5000 0.0000
0.0000 0.0000 0.5000
0.0000 0.5000 0.0000
0.2500 0.2500 0.7500
0.2500 0.7500 0.2500
0.5000 0.0000 0.0000
0.5000 0.5000 0.5000
0.7500 0.2500 0.2500
0.7500 0.7500 0.7500
0.2500 0.2500 0.2500
0.2500 0.7500 0.7500
0.7500 0.2500 0.7500
0.7500 0.7500 0.2500
```

Summary:
energy relative to the elements, uncorrected	-28.0	kJ/mol of atoms
crystal system	cubic
space-group type	F-43m, No. 216



# 6
Computed, not measured: a PBEsol-optimized structure of Ca2TlH2 at the SCAN level of DFT.

```
Ca2TlH2
1.0
3.7980 0.0000 0.0000
0.0000 3.7980 0.0000
0.0000 0.0000 12.7936
Ca Tl H
4 2 4
Direct
0.0000 0.0000 0.1567
0.0000 0.0000 0.8433
0.5000 0.5000 0.3433
0.5000 0.5000 0.6567
0.0000 0.0000 0.5000
0.5000 0.5000 0.0000
0.0000 0.5000 0.2500
0.0000 0.5000 0.7500
0.5000 0.0000 0.2500
0.5000 0.0000 0.7500
```

Summary:
energy above the most stable polymorph in this dataset	0.0	meV/atom
crystal system	tetragonal
space-group type	I4/mmm, No. 139



# 7
Computed, not measured: a PBEsol-optimized structure of YZn2Cd2 at the SCAN level of DFT.

```
YZn2Cd2
1.0
4.1637 0.0000 0.0000
0.0000 4.1637 0.0000
0.0000 0.0000 11.5144
Y Zn Cd
2 4 4
Direct
0.0000 0.0000 0.0000
0.5000 0.5000 0.5000
0.0000 0.0000 0.3978
0.0000 0.0000 0.6022
0.5000 0.5000 0.1022
0.5000 0.5000 0.8978
0.0000 0.5000 0.2500
0.0000 0.5000 0.7500
0.5000 0.0000 0.2500
0.5000 0.0000 0.7500
```

Summary:
E_form	-164	kJ/mol of formula units
energy above the most stable polymorph in this dataset	0.0	meV/atom
crystal system	tetragonal
space-group type	I4/mmm, No. 139



# 8
Computed, not measured: a PBEsol-optimized structure of ScAlCd at the SCAN level of DFT.

```
ScAlCd
1.0
3.1354 0.0000 0.0000
-1.5677 2.7153 0.0000
0.0000 0.0000 7.1660
Sc Al Cd
1 1 1
Direct
0.0000 0.0000 0.0000
0.6667 0.3333 0.6763
0.3333 0.6667 0.3475
```

Summary:
E_form	-20	kJ/mol of formula units
crystal system	trigonal
space-group type	P3m1, No. 156



# 9
Computed, not measured: a PBEsol-optimized structure of CaEuCd2 at the SCAN level of DFT.

```
CaEuCd2
1.0
7.5879 0.0000 0.0000
0.0000 7.5879 0.0000
0.0000 0.0000 7.5879
Ca Eu Cd
4 4 8
Direct
0.0000 0.0000 0.0000
0.0000 0.5000 0.5000
0.5000 0.0000 0.5000
0.5000 0.5000 0.0000
0.0000 0.0000 0.5000
0.0000 0.5000 0.0000
0.5000 0.0000 0.0000
0.5000 0.5000 0.5000
0.2500 0.2500 0.2500
0.2500 0.2500 0.7500
0.2500 0.7500 0.2500
0.2500 0.7500 0.7500
0.7500 0.2500 0.2500
0.7500 0.2500 0.7500
0.7500 0.7500 0.2500
0.7500 0.7500 0.7500
```

Summary:
E_form	-168	kJ/mol of formula units
crystal system	cubic
space-group type	Fm-3m, No. 225



# 10
Computed, not measured: a PBEsol-optimized structure of AlH6N2Cl3 at the SCAN level of DFT.

```
AlH6N2Cl3
1.0
11.1512 0.0000 0.0000
0.0000 18.2448 0.0000
0.0000 0.0000 6.3170
Al H N Cl
8 48 16 24
Direct
0.0000 0.0000 0.0000
0.0000 0.5000 0.0000
0.2354 0.2500 0.4464
0.2646 0.7500 0.9464
0.5000 0.0000 0.5000
0.5000 0.5000 0.5000
0.7354 0.2500 0.0536
0.7646 0.7500 0.5536
0.0598 0.1244 0.1634
0.0598 0.3756 0.1634
0.0847 0.5495 0.3572
0.0847 0.9505 0.3572
0.0971 0.6150 0.1766
0.0971 0.8850 0.1766
0.1162 0.1198 0.9213
0.1162 0.3802 0.9213
0.1834 0.0783 0.1203
0.1834 0.4217 0.1203
0.1936 0.5467 0.1792
0.1936 0.9533 0.1792
0.3064 0.0467 0.6792
0.3064 0.4533 0.6792
0.3166 0.5783 0.6203
0.3166 0.9217 0.6203
0.3838 0.6198 0.4213
0.3838 0.8802 0.4213
0.4029 0.1150 0.6766
0.4029 0.3850 0.6766
0.4153 0.0495 0.8572
0.4153 0.4505 0.8572
0.4402 0.6244 0.6634
0.4402 0.8756 0.6634
0.5598 0.1244 0.3366
0.5598 0.3756 0.3366
0.5847 0.5495 0.1428
0.5847 0.9505 0.1428
0.5971 0.6150 0.3234
0.5971 0.8850 0.3234
0.6162 0.1198 0.5787
0.6162 0.3802 0.5787
0.6834 0.0783 0.3797
0.6834 0.4217 0.3797
0.6936 0.5467 0.3208
0.6936 0.9533 0.3208
0.8064 0.0467 0.8208
0.8064 0.4533 0.8208
0.8166 0.5783 0.8797
0.8166 0.9217 0.8797
0.8838 0.6198 0.0787
0.8838 0.8802 0.0787
0.9029 0.1150 0.8234
0.9029 0.3850 0.8234
0.9153 0.0495 0.6428
0.9153 0.4505 0.6428
0.9402 0.6244 0.8366
0.9402 0.8756 0.8366
0.0998 0.0894 0.0565
0.0998 0.4106 0.0565
0.1036 0.5590 0.1990
0.1036 0.9410 0.1990
0.3964 0.0590 0.6990
0.3964 0.4410 0.6990
0.4002 0.5894 0.5565
0.4002 0.9106 0.5565
0.5998 0.0894 0.4435
0.5998 0.4106 0.4435
0.6036 0.5590 0.3010
0.6036 0.9410 0.3010
0.8964 0.0590 0.8010
0.8964 0.4410 0.8010
0.9002 0.5894 0.9435
0.9002 0.9106 0.9435
0.0881 0.7500 0.0858
0.1292 0.5322 0.7210
0.1292 0.9678 0.7210
0.1386 0.1544 0.5521
0.1386 0.3456 0.5521
0.2497 0.2500 0.1106
0.2503 0.7500 0.6106
0.3614 0.6544 0.0521
0.3614 0.8456 0.0521
0.3708 0.0322 0.2210
0.3708 0.4678 0.2210
0.4119 0.2500 0.5858
0.5881 0.7500 0.4142
0.6292 0.5322 0.7790
0.6292 0.9678 0.7790
0.6386 0.1544 0.9479
0.6386 0.3456 0.9479
0.7497 0.2500 0.3894
0.7503 0.7500 0.8894
0.8614 0.6544 0.4479
0.8614 0.8456 0.4479
0.8708 0.0322 0.2790
0.8708 0.4678 0.2790
0.9119 0.2500 0.9142
```

Summary:
crystal system	orthorhombic
space-group type	Pnma, No. 62



# 11
Computed, not measured: a PBEsol-optimized structure of La4TaCo at the SCAN level of DFT.

```
La4TaCo
1.0
0.0000 4.3116 4.3116
4.3116 0.0000 4.3116
4.3116 4.3116 0.0000
La Ta Co
4 1 1
Direct
0.1249 0.1249 0.1249
0.1249 0.1249 0.6253
0.1249 0.6253 0.1249
0.6253 0.1249 0.1249
0.5000 0.5000 0.5000
0.7500 0.7500 0.7500
```

Summary:
E_form	655	kJ/mol of formula units
crystal system	cubic
space-group type	F-43m, No. 216



# 12
Computed, not measured: a PBEsol-optimized structure of BaLaCr2P at the SCAN level of DFT.

```
BaLaCr2P
1.0
4.6667 0.0000 0.0000
0.0000 4.6667 0.0000
0.0000 0.0000 6.1044
Ba La Cr P
1 1 2 1
Direct
0.0000 0.0000 0.0000
0.0000 0.0000 0.5000
0.0000 0.5000 0.5000
0.5000 0.0000 0.5000
0.5000 0.5000 0.0000
```

Summary:
E_form	682	kJ/mol of formula units
crystal system	tetragonal
space-group type	P4/mmm, No. 123



Number 1: total DFT energy (no corrections) -34.863 eV per atom. Number 2: total DFT energy (no corrections) -8.340 eV per atom. Number 3: total DFT energy (no corrections) -11.533 eV per atom. Number 4: total DFT energy (no corrections) -37.417 eV per atom. Number 5: total DFT energy (no corrections) -24.076 eV per atom. Number 6: total DFT energy (no corrections) -20.317 eV per atom. Number 7: total DFT energy (no corrections) -23.481 eV per atom. Number 8: total DFT energy (no corrections) -17.536 eV per atom. Number 9: total DFT energy (no corrections) -31.487 eV per atom. Number 10: total DFT energy (no corrections) -6.887 eV per atom. Number 11: total DFT energy (no corrections) -41.586 eV per atom. Number 12: total DFT energy (no corrections) -24.552 eV per atom.